# Sn2WF

A relaxed structure of Sn2WF (GGA+U, Alexandria).

Cell and atoms, written as CIF:
```
data_Sn2WF
_chemical_formula_sum 'Sn8 W4 F4'
_cell_length_a 7.485
_cell_length_b 7.485
_cell_length_c 6.431
_cell_angle_alpha 90.00
_cell_angle_beta 90.00
_cell_angle_gamma 90.00
_space_group_name_H-M_alt 'I -4 2 d'
_space_group_IT_number 122
_space_group_name_Hall 'I -4 2bw'
loop_
_atom_site_label
_atom_site_fract_x
_atom_site_fract_y
_atom_site_fract_z
Sn1 0.189 0.250 0.125
W1 0.000 0.000 0.500
F1 0.000 0.000 0.000
```

excess energy over the best structure of this formula in the dataset: 175 meV per atom
Fermi-level density of states: 12.34 states/eV per cell
raw total energy: -4.097 eV per atom